# K4Hf5O12

A relaxed structure of K4Hf5O12 (PBE, Alexandria via LeMat-Bulk).

Unit cell a=5.8211 b=5.8211 c=10.4371 alpha=90.00 beta=90.00 gamma=120.00
Positions (direct):
K (0.0000, 0.0000, 0.3223)
K (0.0000, 0.0000, 0.6777)
K (0.3333, 0.6667, 0.1126)
K (0.6667, 0.3333, 0.8874)
Hf (0.3333, 0.6667, 0.4766)
Hf (0.6667, 0.3333, 0.5234)
Hf (0.0000, 0.0000, 0.0000)
Hf (0.3333, 0.6667, 0.7836)
Hf (0.6667, 0.3333, 0.2164)
O (0.8348, 0.1652, 0.1211)
O (0.8348, 0.6696, 0.1211)
O (0.3304, 0.1652, 0.1211)
O (0.6696, 0.8348, 0.8789)
O (0.1652, 0.3304, 0.8789)
O (0.1652, 0.8348, 0.8789)
O (0.5097, 0.4903, 0.3778)
O (0.5097, 0.0195, 0.3778)
O (0.9805, 0.4903, 0.3778)
O (0.0195, 0.5097, 0.6222)
O (0.4903, 0.9805, 0.6222)
O (0.4903, 0.5097, 0.6222)

Values from the calculation:
- total magnetization (μB/cell) = 0.000
- space-group type = P-3m1
- formation energy without anion corrections (eV/atom) = -3.0175
- uncorrected energy (eV per formula unit) = -177.02



# Pu8ZnRh5

A relaxed structure of Pu8ZnRh5 (PBE, Alexandria via LeMat-Bulk).

Unit cell a=7.3839 b=7.3839 c=7.3839 alpha=109.34 beta=109.73 gamma=109.34
Positions (direct):
Pu (0.1193, 0.7623, 0.0232)
Pu (0.9768, 0.0962, 0.7392)
Pu (0.7587, 0.2440, 0.3694)
Pu (0.6306, 0.3893, 0.8746)
Pu (0.4853, 0.6107, 0.2413)
Pu (0.6430, 0.9038, 0.8807)
Pu (0.2608, 0.2377, 0.3570)
Pu (0.1254, 0.7560, 0.5147)
Zn (0.2500, 0.5000, 0.7500)
Rh (0.0161, 0.3917, 0.1323)
Rh (0.8677, 0.8839, 0.2595)
Rh (0.7405, 0.6083, 0.6244)
Rh (0.5000, 0.0000, 0.5000)
Rh (0.3756, 0.1161, 0.9839)

Values from the calculation:
- total magnetization (μB/cell) = 0.331
- space-group type = I-4
- formation energy (kcal/mol of atoms) = -5.9
- uncorrected energy (eV per formula unit) = -156.27



# Ti2FePt9

A relaxed structure of Ti2FePt9 (PBE, Alexandria via LeMat-Bulk).

Unit cell a=3.9388 b=3.9388 c=11.8073 alpha=90.00 beta=90.00 gamma=90.00
Positions (direct):
Ti (0.0000, 0.0000, 0.3291)
Ti (0.0000, 0.0000, 0.6709)
Fe (0.0000, 0.0000, 0.0000)
Pt (0.5000, 0.5000, 0.0000)
Pt (0.5000, 0.5000, 0.3336)
Pt (0.5000, 0.5000, 0.6664)
Pt (0.5000, 0.0000, 0.1671)
Pt (0.5000, 0.0000, 0.5000)
Pt (0.5000, 0.0000, 0.8329)
Pt (0.0000, 0.5000, 0.1671)
Pt (0.0000, 0.5000, 0.5000)
Pt (0.0000, 0.5000, 0.8329)

Values from the calculation:
- total magnetization (μB/cell) = 4.844
- space-group type = P4/mmm
- formation energy (kcal/mol of atoms) = -15.4
- uncorrected energy (eV per formula unit) = -86.62



# Zr6CoCu

A relaxed structure of Zr6CoCu (PBE, Alexandria via LeMat-Bulk).

Unit cell a=4.5738 b=4.5722 c=8.3047 alpha=74.02 beta=74.02 gamma=90.00
Positions (direct):
Zr (0.7500, 0.7499, 0.5002)
Zr (0.6070, 0.1071, 0.7859)
Zr (0.1071, 0.6071, 0.7859)
Zr (0.3930, 0.8929, 0.2141)
Zr (0.2500, 0.2501, 0.4998)
Zr (0.8929, 0.3929, 0.2141)
Co (0.5000, 0.5000, 0.0000)
Cu (0.0000, 0.0000, 0.0000)

Values from the calculation:
- total magnetization (μB/cell) = 0.545
- space-group type = I4/mmm
- energy above the most stable polymorph in this dataset (eV/f.u.) = 0.00
- formation energy (kcal/mol of atoms) = -2.6
- uncorrected energy (eV per formula unit) = -63.39



# PrIn2Pd7

A relaxed structure of PrIn2Pd7 (PBE, Alexandria via LeMat-Bulk).

Unit cell a=4.6005 b=7.3071 c=7.7223 alpha=118.24 beta=90.00 gamma=90.00
Positions (direct):
Pr (0.0000, 0.0000, 0.0000)
In (0.5000, 0.7017, 0.4033)
In (0.5000, 0.2983, 0.5967)
Pd (0.0000, 0.7970, 0.5940)
Pd (0.0000, 0.2030, 0.4060)
Pd (0.5000, 0.7086, 0.7838)
Pd (0.5000, 0.2914, 0.2162)
Pd (0.5000, 0.9248, 0.2162)
Pd (0.5000, 0.0752, 0.7838)
Pd (0.5000, 0.5000, 0.0000)

Values from the calculation:
- total magnetization (μB/cell) = 0.000
- space-group type = Cmmm
- formation energy (kcal/mol of atoms) = -3.2
- uncorrected energy (eV per formula unit) = -48.02



# RbNaSnF6

A relaxed structure of RbNaSnF6 (PBE, Alexandria via LeMat-Bulk).

Unit cell a=5.9175 b=5.9175 c=11.6240 alpha=90.00 beta=90.00 gamma=120.00
Positions (direct):
Rb (0.0000, 0.0000, 0.0000)
Rb (0.0000, 0.0000, 0.5000)
Na (0.3333, 0.6667, 0.2500)
Na (0.6667, 0.3333, 0.7500)
Sn (0.6667, 0.3333, 0.2500)
Sn (0.3333, 0.6667, 0.7500)
F (0.6455, 0.6027, 0.1526)
F (0.9573, 0.3545, 0.1526)
F (0.3545, 0.9573, 0.6526)
F (0.0427, 0.6455, 0.8474)
F (0.3973, 0.3545, 0.3474)
F (0.9573, 0.6027, 0.3474)
F (0.6027, 0.9573, 0.8474)
F (0.6455, 0.0427, 0.3474)
F (0.0427, 0.3973, 0.6526)
F (0.3973, 0.0427, 0.1526)
F (0.6027, 0.6455, 0.6526)
F (0.3545, 0.3973, 0.8474)

Values from the calculation:
- total magnetization (μB/cell) = 0.176
- space-group type = P-31c
- formation energy without anion corrections (eV/atom) = -2.7373
- uncorrected energy (eV per formula unit) = -42.15



Which of these has the lowest uncorrected energy? K4Hf5O12



Look up the uncorrected energy of the third one. -86.62 eV per formula unit



Number 5 is which compound? PrIn2Pd7



Please write out number 2 again, unchanged.
# Pu8ZnRh5

A relaxed structure of Pu8ZnRh5 (PBE, Alexandria via LeMat-Bulk).

Unit cell a=7.3839 b=7.3839 c=7.3839 alpha=109.34 beta=109.73 gamma=109.34
Positions (direct):
Pu (0.1193, 0.7623, 0.0232)
Pu (0.9768, 0.0962, 0.7392)
Pu (0.7587, 0.2440, 0.3694)
Pu (0.6306, 0.3893, 0.8746)
Pu (0.4853, 0.6107, 0.2413)
Pu (0.6430, 0.9038, 0.8807)
Pu (0.2608, 0.2377, 0.3570)
Pu (0.1254, 0.7560, 0.5147)
Zn (0.2500, 0.5000, 0.7500)
Rh (0.0161, 0.3917, 0.1323)
Rh (0.8677, 0.8839, 0.2595)
Rh (0.7405, 0.6083, 0.6244)
Rh (0.5000, 0.0000, 0.5000)
Rh (0.3756, 0.1161, 0.9839)

Values from the calculation:
- total magnetization (μB/cell) = 0.331
- space-group type = I-4
- formation energy (kcal/mol of atoms) = -5.9
- uncorrected energy (eV per formula unit) = -156.27